Arrangement i

Nd2YTe: optimized geometry, GGA-PBE.

N(E_F)   4.9 states/eV/f.u.

POSCAR file:
```
Nd2YTe
1.0
1.994 1.151 10.091
-1.994 1.151 10.091
0.000 -2.302 10.091
Nd Y Te
2 1 1
Cartesian
0.000 0.000 7.221
0.000 0.000 23.051
0.000 0.000 0.000
0.000 0.000 15.136
```

---

Arrangement ii

Nd2YTe: optimized geometry, GGA-PBE.

N(E_F)   5.0 states/eV/f.u.

POSCAR file:
```
Nd2YTe
1.0
2.005 1.158 9.948
-2.005 1.158 9.948
0.000 -2.316 9.948
Nd Y Te
2 1 1
Cartesian
0.000 0.000 0.000
0.000 0.000 5.644
0.000 0.000 12.757
0.000 0.000 17.747
```

---

Arrangement iii

Nd2YTe: optimized geometry, GGA-PBE.

N(E_F)   5.5 states/eV/f.u.

POSCAR file:
```
Nd2YTe
1.0
4.008 0.000 0.000
0.000 4.008 0.000
0.000 0.000 7.913
Nd Y Te
2 1 1
Cartesian
0.000 0.000 1.778
0.000 0.000 6.135
2.004 2.004 3.957
2.004 2.004 0.000
```

---

Energies relative to the most stable structure are arrangement i 4.2; arrangement ii 2.4; arrangement iii 0.0, reported in kJ/mol of atoms.